The following is a PBE-GGA calculation of an optimized crystal structure of RbP2RuSe8, from Alexandria via LeMat-Bulk.

It has space group P-3 (No. 147), with a = 6.1798 Å, b = 6.1798 Å, c = 10.3607 Å, α = 90.00°, β = 90.00° and γ = 120.00°. The inequivalent atoms are Rb at (0.0000, 0.0000, 0.0000), P at (0.3333, 0.6667, 0.6978), Ru at (0.0000, 0.0000, 0.5000), Se at (0.0294, 0.6805, 0.3661) and Se at (0.3333, 0.6667, 0.9067).

For the uncorrected formation energy, the calculation gives -206 meV per atom.

=====

The following is a PBE-GGA calculation of an optimized crystal structure of DyScH4, from Alexandria via LeMat-Bulk.

It has space group I4_1/amd (No. 141, origin choice 2), with a = 4.963 Å, b = 4.963 Å, c = 9.999 Å, α = 90.00°, β = 90.00° and γ = 90.00°. The inequivalent atoms are Dy at (0.000, 0.250, 0.375), Sc at (0.000, 0.250, 0.875) and H at (0.232, 0.000, 0.000).

Its raw total energy is -4.735 eV/atom.

=====

The following is a PBE-GGA calculation of an optimized crystal structure of La2SmYTm, from Alexandria via LeMat-Bulk.

It has space group Cmcm (No. 63), with a = 11.114 Å, b = 9.501 Å, c = 6.897 Å, α = 90.00°, β = 90.00° and γ = 90.00°. The inequivalent atoms are La at (0.249, 0.000, 0.000), Sm at (0.000, 0.401, 0.250), Y at (0.000, 0.248, 0.750) and Tm at (0.000, 0.088, 0.250).

The calculation puts the formation energy at 159 kJ/mol of formula units.

=====

The following is a PBE-GGA calculation of an optimized crystal structure of Th3SbPd, from Alexandria via LeMat-Bulk.

It has space group Cmmm (No. 65), with a = 7.807 Å, b = 15.912 Å, c = 4.905 Å, α = 90.00°, β = 90.00° and γ = 90.00°. The inequivalent atoms are Th at (0.000, 0.158, 0.000), Th at (0.184, 0.500, 0.500), Th at (0.250, 0.250, 0.500), Sb at (0.000, 0.365, 0.000) and Pd at (0.000, 0.085, 0.500).

For the uncorrected formation energy, the calculation gives -311 meV per atom.

=====

What are the D(E_F) values for these records? In order: 9.6, 7.0, 32.5, 26.8 states/eV per cell.
What are the theoretical density values for these records? In order: 4.27, 5.70, 6.26, 10.08 g cm⁻³.